# 1
TmMg2InGa | PBE-GGA | optimized geometry

Cell lengths 8.814, 8.814, 8.370 Å; angles 90.00, 90.00, 157.51 degrees
Sites, in units of the cell vectors:
Tm: 0.097 0.903 0.750
Tm: 0.903 0.097 0.250
Mg: 0.327 0.673 0.559
Mg: 0.327 0.673 0.941
Mg: 0.673 0.327 0.059
Mg: 0.673 0.327 0.441
In: 0.500 0.500 0.000
In: 0.500 0.500 0.500
Ga: 0.261 0.739 0.250
Ga: 0.739 0.261 0.750

SG	Cmcm
energy of formation	-0.19	eV per atom


# 2
YMgInGa | PBE-GGA | optimized geometry

Cell lengths 5.077, 5.077, 5.077 Å; angles 60.00, 60.00, 60.00 degrees
Sites, in units of the cell vectors:
Y: 0.000 0.000 0.000
Mg: 0.500 0.500 0.500
In: 0.750 0.750 0.750
Ga: 0.250 0.250 0.250

SG	F-43m
energy of formation	-0.32	eV per atom


# 3
YMgInGa | PBE-GGA | optimized geometry

Cell lengths 4.381, 4.453, 4.599 Å; angles 90.00, 90.00, 90.00 degrees
Sites, in units of the cell vectors:
Y: 0.000 0.000 0.000
Mg: 0.000 0.500 0.500
In: 0.500 0.000 0.500
Ga: 0.500 0.500 0.000

SG	Pmmm
energy of formation	-0.43	eV per atom


# 4
Mg2ZnInGa | PBE-GGA | optimized geometry

Cell lengths 6.802, 4.251, 7.064 Å; angles 90.00, 90.19, 90.00 degrees
Sites, in units of the cell vectors:
Mg: 0.027 0.250 0.343
Mg: 0.466 0.250 0.182
Mg: 0.534 0.750 0.818
Mg: 0.973 0.750 0.657
Zn: 0.335 0.750 0.437
Zn: 0.665 0.250 0.563
In: 0.162 0.750 0.050
In: 0.838 0.250 0.950
Ga: 0.278 0.250 0.679
Ga: 0.722 0.750 0.321

SG	P2_1/m
energy of formation	-0.06	eV per atom


# 5
MgZrInGa | PBE-GGA | optimized geometry

Cell lengths 4.179, 4.311, 4.444 Å; angles 90.00, 90.00, 90.00 degrees
Sites, in units of the cell vectors:
Mg: 0.000 0.000 0.000
Zr: 0.000 0.500 0.500
In: 0.500 0.500 0.000
Ga: 0.500 0.000 0.500

SG	Pmmm
energy of formation	-0.33	eV per atom


# 6
MnIn2Ga | PBE-GGA | optimized geometry

Cell lengths 10.868, 10.868, 10.868 Å; angles 16.68, 16.68, 16.68 degrees
Sites, in units of the cell vectors:
Mn: 0.000 0.000 0.000
In: 0.087 0.087 0.087
In: 0.913 0.913 0.913
Ga: 0.500 0.500 0.500

SG	R-3m
energy of formation	0.42	eV per atom


# 7
MnInGa | PBE-GGA | optimized geometry

Cell lengths 5.473, 5.473, 7.487 Å; angles 120.13, 120.13, 33.88 degrees
Sites, in units of the cell vectors:
Mn: 0.136 0.136 0.186
Mn: 0.864 0.864 0.814
In: 0.403 0.403 0.157
In: 0.597 0.597 0.843
Ga: 0.152 0.152 0.548
Ga: 0.848 0.848 0.452

SG	C2/m
energy of formation	0.15	eV per atom


# 8
MnInGa2 | PBE-GGA | optimized geometry

Cell lengths 9.543, 9.543, 9.543 Å; angles 154.71, 154.71, 36.06 degrees
Sites, in units of the cell vectors:
Mn: 0.000 0.000 0.000
Mn: 0.750 0.250 0.500
In: 0.250 0.750 0.500
In: 0.500 0.500 0.000
Ga: 0.068 0.625 0.943
Ga: 0.375 0.318 0.443
Ga: 0.682 0.125 0.057
Ga: 0.875 0.932 0.557

SG	I-42d
energy of formation	0.20	eV per atom